1.
La2FeRe, optimized geometry, DFT PBE; DFT total energy = -28.77 eV for the cell shown; symmetry = No. 123; spin magnetization = 2.8 Bohr magnetons per cell; energy above the most stable polymorph in this dataset = 0.2130 eV/atom; formation enthalpy at 0 K = 48.2 kJ per mole of atoms
1.0
3.5552 0.0000 0.0000
0.0000 3.5552 0.0000
0.0000 0.0000 7.3738
La Fe Re
2 1 1
direct
0.0000 0.0000 0.2417
0.0000 0.0000 0.7583
0.5000 0.5000 0.5000
0.5000 0.5000 0.0000

2.
LaFeRe2, optimized geometry, DFT PBE; DFT total energy = -106.93 eV for the cell shown; symmetry = No. 166; spin magnetization = 4.0 Bohr magnetons per cell; energy above the most stable polymorph in this dataset = 0.4287 eV/atom; formation enthalpy at 0 K = 63.8 kJ per mole of atoms
1.0
2.8201 0.0000 0.0000
-1.4100 2.4423 0.0000
0.0000 0.0000 29.6047
La Fe Re
3 3 6
direct
0.0000 0.0000 0.0000
0.3333 0.6667 0.6667
0.6667 0.3333 0.3333
0.0000 0.0000 0.5000
0.3333 0.6667 0.1667
0.6667 0.3333 0.8333
0.0000 0.0000 0.2350
0.0000 0.0000 0.7650
0.3333 0.6667 0.4316
0.3333 0.6667 0.9017
0.6667 0.3333 0.0983
0.6667 0.3333 0.5684

3.
LaFe2Re2, optimized geometry, DFT PBE; DFT total energy = -91.89 eV for the cell shown; symmetry = No. 139; spin magnetization = 0.0 Bohr magnetons per cell; energy above the most stable polymorph in this dataset = 0.0000 eV/atom; formation enthalpy at 0 K = 15.5 kJ per mole of atoms
1.0
4.2453 0.0000 0.0000
0.0000 4.2453 0.0000
0.0000 0.0000 9.8729
La Fe Re
2 4 4
direct
0.0000 0.0000 0.0000
0.5000 0.5000 0.5000
0.0000 0.0000 0.3608
0.0000 0.0000 0.6392
0.5000 0.5000 0.1392
0.5000 0.5000 0.8608
0.0000 0.5000 0.2500
0.0000 0.5000 0.7500
0.5000 0.0000 0.2500
0.5000 0.0000 0.7500

4.
LaFeRe2, optimized geometry, DFT PBE; DFT total energy = -69.73 eV for the cell shown; symmetry = No. 65; spin magnetization = 4.8 Bohr magnetons per cell; energy above the most stable polymorph in this dataset = 0.6226 eV/atom; formation enthalpy at 0 K = 82.5 kJ per mole of atoms
1.0
5.2435 0.0000 0.0000
0.0000 9.9057 0.0000
0.0000 0.0000 2.7362
La Fe Re
2 2 4
direct
0.0000 0.0000 0.0000
0.5000 0.5000 0.0000
0.0000 0.5000 0.0000
0.5000 0.0000 0.0000
0.2500 0.2500 0.5000
0.2500 0.7500 0.5000
0.7500 0.2500 0.5000
0.7500 0.7500 0.5000

5.
La2FeRe, optimized geometry, DFT PBE; DFT total energy = -114.86 eV for the cell shown; symmetry = No. 225; spin magnetization = 12.2 Bohr magnetons per cell; energy above the most stable polymorph in this dataset = 0.2261 eV/atom; formation enthalpy at 0 K = 49.4 kJ per mole of atoms
1.0
7.1842 0.0000 0.0000
0.0000 7.1842 0.0000
0.0000 0.0000 7.1842
La Fe Re
8 4 4
direct
0.2500 0.2500 0.2500
0.2500 0.2500 0.7500
0.2500 0.7500 0.2500
0.2500 0.7500 0.7500
0.7500 0.2500 0.2500
0.7500 0.2500 0.7500
0.7500 0.7500 0.2500
0.7500 0.7500 0.7500
0.0000 0.0000 0.0000
0.0000 0.5000 0.5000
0.5000 0.0000 0.5000
0.5000 0.5000 0.0000
0.0000 0.0000 0.5000
0.0000 0.5000 0.0000
0.5000 0.0000 0.0000
0.5000 0.5000 0.5000

6.
LaFe2Re, optimized geometry, DFT PBE; DFT total energy = -94.66 eV for the cell shown; symmetry = No. 166; spin magnetization = 12.2 Bohr magnetons per cell; energy above the most stable polymorph in this dataset = 0.5368 eV/atom; formation enthalpy at 0 K = 66.2 kJ per mole of atoms
1.0
2.9246 0.0000 0.0000
-1.4623 2.5328 0.0000
0.0000 0.0000 27.5722
La Fe Re
3 6 3
direct
0.0000 0.0000 0.0000
0.3333 0.6667 0.6667
0.6667 0.3333 0.3333
0.0000 0.0000 0.2364
0.0000 0.0000 0.7636
0.3333 0.6667 0.4302
0.3333 0.6667 0.9031
0.6667 0.3333 0.0969
0.6667 0.3333 0.5698
0.0000 0.0000 0.5000
0.3333 0.6667 0.1667
0.6667 0.3333 0.8333

7.
LaFeRe2, optimized geometry, DFT PBE; DFT total energy = -72.62 eV for the cell shown; symmetry = No. 71; spin magnetization = 2.3 Bohr magnetons per cell; energy above the most stable polymorph in this dataset = 0.2618 eV/atom; formation enthalpy at 0 K = 47.7 kJ per mole of atoms
1.0
2.8169 0.0000 0.0000
0.0000 4.6526 0.0000
0.0000 0.0000 10.5040
La Fe Re
2 2 4
direct
0.0000 0.0000 0.0000
0.5000 0.5000 0.5000
0.0000 0.0000 0.5000
0.5000 0.5000 0.0000
0.0000 0.5000 0.2127
0.0000 0.5000 0.7873
0.5000 0.0000 0.2873
0.5000 0.0000 0.7127

8.
LaFeRe, optimized geometry, DFT PBE; DFT total energy = -25.25 eV for the cell shown; symmetry = No. 156; spin magnetization = 0.0 Bohr magnetons per cell; energy above the most stable polymorph in this dataset = 0.0000 eV/atom; formation enthalpy at 0 K = 18.8 kJ per mole of atoms
1.0
3.9589 0.0000 0.0000
-1.9795 3.4285 0.0000
0.0000 0.0000 4.7361
La Fe Re
1 1 1
direct
0.0000 0.0000 0.0000
0.3333 0.6667 0.5342
0.6667 0.3333 0.4700